# La9PrDy2 (PBE, optimized geometry)
data_La9PrDy2
_chemical_formula_sum 'La9 Pr1 Dy2'
_symmetry_space_group_name_H-M 'P 4/m m m'
_symmetry_Int_Tables_number 123
_symmetry_space_group_name_Hall '-P 4 2'
_cell_length_a 5.220
_cell_length_b 5.220
_cell_length_c 15.683
_cell_angle_alpha 90.00
_cell_angle_beta 90.00
_cell_angle_gamma 90.00
loop_
_atom_site_label
_atom_site_type_symbol
_atom_site_fract_x
_atom_site_fract_y
_atom_site_fract_z
_atom_site_occupancy
La1 La 0.000 0.000 0.000 1
La2 La 0.000 0.000 0.335 1
La3 La 0.000 0.500 0.169 1
La4 La 0.000 0.500 0.500 1
Pr1 Pr 0.500 0.500 0.000 1
Dy1 Dy 0.500 0.500 0.335 1
# * density of states at the Fermi level: 1.51 states/eV/atom
# * volume: 35.62 Å³/atom
# * total magnetic moment: 0.000 μB/cell
# * calculated formation energy: 7 meV/atom
# * total energy: -58.2 eV for the cell shown

# La9Pr2Dy (PBE, optimized geometry)
data_La9Pr2Dy
_chemical_formula_sum 'La9 Pr2 Dy1'
_symmetry_space_group_name_H-M 'P 4/m m m'
_symmetry_Int_Tables_number 123
_symmetry_space_group_name_Hall '-P 4 2'
_cell_length_a 5.238
_cell_length_b 5.238
_cell_length_c 15.727
_cell_angle_alpha 90.00
_cell_angle_beta 90.00
_cell_angle_gamma 90.00
loop_
_atom_site_label
_atom_site_type_symbol
_atom_site_fract_x
_atom_site_fract_y
_atom_site_fract_z
_atom_site_occupancy
La1 La 0.000 0.000 0.000 1
La2 La 0.000 0.000 0.333 1
La3 La 0.000 0.500 0.165 1
La4 La 0.000 0.500 0.500 1
Pr1 Pr 0.500 0.500 0.332 1
Dy1 Dy 0.500 0.500 0.000 1
# * density of states at the Fermi level: 1.59 states/eV/atom
# * volume: 35.96 Å³/atom
# * total magnetic moment: 0.000 μB/cell
# * calculated formation energy: 5 meV/atom
# * total energy: -58.4 eV for the cell shown

# LaPr2Dy (PBE, optimized geometry)
data_LaPr2Dy
_chemical_formula_sum 'La1 Pr2 Dy1'
_symmetry_space_group_name_H-M 'P 4/m m m'
_symmetry_Int_Tables_number 123
_symmetry_space_group_name_Hall '-P 4 2'
_cell_length_a 4.304
_cell_length_b 4.304
_cell_length_c 7.634
_cell_angle_alpha 90.00
_cell_angle_beta 90.00
_cell_angle_gamma 90.00
loop_
_atom_site_label
_atom_site_type_symbol
_atom_site_fract_x
_atom_site_fract_y
_atom_site_fract_z
_atom_site_occupancy
La1 La 0.000 0.000 0.000 1
Pr1 Pr 0.500 0.500 0.264 1
Dy1 Dy 0.000 0.000 0.500 1
# * density of states at the Fermi level: 2.38 states/eV/atom
# * volume: 35.36 Å³/atom
# * total magnetic moment: 0.000 μB/cell
# * calculated formation energy: 110 meV/atom
# * total energy: -18.6 eV for the cell shown

# La7Pr3Dy (PBE, optimized geometry)
data_La7Pr3Dy
_chemical_formula_sum 'La14 Pr6 Dy2'
_symmetry_space_group_name_H-M 'C 1 m 1'
_symmetry_Int_Tables_number 8
_cell_length_a 12.717
_cell_length_b 7.347
_cell_length_c 8.874
_cell_angle_alpha 90.00
_cell_angle_beta 90.10
_cell_angle_gamma 90.00
loop_
_symmetry_equiv_pos_as_xyz
'x,y,z'
'x,-y,z'
'x+1/2,y+1/2,z'
'x+1/2,-y+1/2,z'
loop_
_atom_site_label
_atom_site_type_symbol
_atom_site_fract_x
_atom_site_fract_y
_atom_site_fract_z
_atom_site_occupancy
La1 La 0.000 0.000 0.000 1
La2 La 0.000 0.500 0.015 1
La3 La 0.167 0.000 0.673 1
La4 La 0.251 0.249 0.015 1
La5 La 0.416 0.248 0.672 1
Pr1 Pr 0.083 0.250 0.344 1
Pr2 Pr 0.333 0.500 0.344 1
Dy1 Dy 0.167 0.500 0.684 1
# * density of states at the Fermi level: 1.61 states/eV/atom
# * volume: 37.69 Å³/atom
# * total magnetic moment: 0.000 μB/cell
# * calculated formation energy: 153 meV/atom
# * total energy: -103.5 eV for the cell shown

# LaPrDy4 (PBE, optimized geometry)
data_LaPrDy4
_chemical_formula_sum 'La1 Pr1 Dy4'
_symmetry_space_group_name_H-M 'P -1'
_symmetry_Int_Tables_number 2
_cell_length_a 5.088
_cell_length_b 6.243
_cell_length_c 7.232
_cell_angle_alpha 106.87
_cell_angle_beta 90.08
_cell_angle_gamma 113.98
loop_
_symmetry_equiv_pos_as_xyz
'x,y,z'
'-x,-y,-z'
loop_
_atom_site_label
_atom_site_type_symbol
_atom_site_fract_x
_atom_site_fract_y
_atom_site_fract_z
_atom_site_occupancy
La1 La 0.000 0.000 0.000 1
Pr1 Pr 0.000 0.000 0.500 1
Dy1 Dy 0.331 0.662 0.665 1
Dy2 Dy 0.332 0.664 0.167 1
# * density of states at the Fermi level: 1.45 states/eV/atom
# * volume: 33.16 Å³/atom
# * total magnetic moment: 0.000 μB/cell
# * calculated formation energy: 25 meV/atom
# * total energy: -28.0 eV for the cell shown

# La5Pr5Dy (PBE, optimized geometry)
data_La5Pr5Dy
_chemical_formula_sum 'La10 Pr10 Dy2'
_symmetry_space_group_name_H-M 'C 1 2/m 1'
_symmetry_Int_Tables_number 12
_cell_length_a 19.323
_cell_length_b 6.238
_cell_length_c 7.172
_cell_angle_alpha 90.00
_cell_angle_beta 110.50
_cell_angle_gamma 90.00
loop_
_symmetry_equiv_pos_as_xyz
'x,y,z'
'-x,-y,-z'
'-x,y,-z'
'x,-y,z'
'x+1/2,y+1/2,z'
'-x+1/2,-y+1/2,-z'
'-x+1/2,y+1/2,-z'
'x+1/2,-y+1/2,z'
loop_
_atom_site_label
_atom_site_type_symbol
_atom_site_fract_x
_atom_site_fract_y
_atom_site_fract_z
_atom_site_occupancy
La1 La 0.000 0.000 0.000 1
La2 La 0.173 0.500 0.928 1
La3 La 0.174 0.500 0.414 1
Pr1 Pr 0.000 0.500 0.500 1
Pr2 Pr 0.126 0.000 0.635 1
Pr3 Pr 0.169 0.000 0.178 1
Dy1 Dy 0.000 0.500 0.000 1
# * density of states at the Fermi level: 1.72 states/eV/atom
# * volume: 36.81 Å³/atom
# * total magnetic moment: 0.000 μB/cell
# * calculated formation energy: 209 meV/atom
# * total energy: -101.7 eV for the cell shown

# LaPr4Dy8 (PBE, optimized geometry)
data_LaPr4Dy8
_chemical_formula_sum 'La3 Pr12 Dy24'
_symmetry_space_group_name_H-M 'R -3 m'
_symmetry_Int_Tables_number 166
_symmetry_space_group_name_Hall '-R 3 2"'
_cell_length_a 11.1486
_cell_length_b 11.1486
_cell_length_c 13.6179
_cell_angle_alpha 90.00
_cell_angle_beta 90.00
_cell_angle_gamma 120.00
loop_
_atom_site_label
_atom_site_type_symbol
_atom_site_fract_x
_atom_site_fract_y
_atom_site_fract_z
_atom_site_occupancy
La1 La 0.0000 0.0000 0.0000 1
Pr1 Pr 0.0000 0.0000 0.5000 1
Pr2 Pr 0.0000 0.5000 0.5000 1
Dy1 Dy 0.0000 0.0000 0.2613 1
Dy2 Dy 0.0149 0.5074 0.2457 1
# * density of states at the Fermi level: 1.70 states/eV/atom
# * volume: 37.59 Å³/atom
# * total magnetic moment: 6.826 μB/cell
# * calculated formation energy: 519 meV/atom
# * total energy: -162.3 eV for the cell shown

# La16Pr7Dy6 (PBE, optimized geometry)
data_La16Pr7Dy6
_chemical_formula_sum 'La64 Pr28 Dy24'
_symmetry_space_group_name_H-M 'F m -3 m'
_symmetry_Int_Tables_number 225
_symmetry_space_group_name_Hall '-F 4 2 3'
_cell_length_a 16.353
_cell_length_b 16.353
_cell_length_c 16.353
_cell_angle_alpha 90.00
_cell_angle_beta 90.00
_cell_angle_gamma 90.00
loop_
_atom_site_label
_atom_site_type_symbol
_atom_site_fract_x
_atom_site_fract_y
_atom_site_fract_z
_atom_site_occupancy
La1 La 0.125 0.125 0.125 1
La2 La 0.152 0.152 0.348 1
Pr1 Pr 0.000 0.000 0.000 1
Pr2 Pr 0.000 0.250 0.250 1
Dy1 Dy 0.000 0.000 0.263 1
# * density of states at the Fermi level: 1.35 states/eV/atom
# * volume: 37.70 Å³/atom
# * total magnetic moment: 0.000 μB/cell
# * calculated formation energy: 204 meV/atom
# * total energy: -535.9 eV for the cell shown

# LaPr3Dy4 (PBE, optimized geometry)
data_LaPr3Dy4
_chemical_formula_sum 'La2 Pr6 Dy8'
_symmetry_space_group_name_H-M 'P m n 21'
_symmetry_Int_Tables_number 31
_cell_length_a 11.714
_cell_length_b 7.365
_cell_length_c 6.350
_cell_angle_alpha 90.00
_cell_angle_beta 90.00
_cell_angle_gamma 90.00
loop_
_symmetry_equiv_pos_as_xyz
'x,y,z'
'-x+1/2,-y,z+1/2'
'-x,y,z'
'x+1/2,-y,z+1/2'
loop_
_atom_site_label
_atom_site_type_symbol
_atom_site_fract_x
_atom_site_fract_y
_atom_site_fract_z
_atom_site_occupancy
La1 La 0.000 0.127 0.000 1
Pr1 Pr 0.000 0.872 0.500 1
Pr2 Pr 0.250 0.129 0.336 1
Dy1 Dy 0.000 0.381 0.502 1
Dy2 Dy 0.000 0.621 0.002 1
Dy3 Dy 0.249 0.621 0.334 1
# * density of states at the Fermi level: 1.81 states/eV/atom
# * volume: 34.24 Å³/atom
# * total magnetic moment: 0.001 μB/cell
# * calculated formation energy: 33 meV/atom
# * total energy: -74.8 eV for the cell shown

# La5PrDy2 (PBE, optimized geometry)
data_La5PrDy2
_chemical_formula_sum 'La10 Pr2 Dy4'
_symmetry_space_group_name_H-M 'I m m m'
_symmetry_Int_Tables_number 71
_symmetry_space_group_name_Hall '-I 2 2'
_cell_length_a 3.648
_cell_length_b 11.428
_cell_length_c 13.627
_cell_angle_alpha 90.00
_cell_angle_beta 90.00
_cell_angle_gamma 90.00
loop_
_atom_site_label
_atom_site_type_symbol
_atom_site_fract_x
_atom_site_fract_y
_atom_site_fract_z
_atom_site_occupancy
La1 La 0.000 0.000 0.000 1
La2 La 0.000 0.269 0.370 1
Pr1 Pr 0.000 0.500 0.000 1
Dy1 Dy 0.000 0.000 0.257 1
# * density of states at the Fermi level: 1.50 states/eV/atom
# * volume: 35.51 Å³/atom
# * total magnetic moment: 0.000 μB/cell
# * calculated formation energy: 29 meV/atom
# * total energy: -76.8 eV for the cell shown

# LaPr2Dy4 (PBE, optimized geometry)
data_LaPr2Dy4
_chemical_formula_sum 'La2 Pr4 Dy8'
_symmetry_space_group_name_H-M 'I 4/m m m'
_symmetry_Int_Tables_number 139
_symmetry_space_group_name_Hall '-I 4 2'
_cell_length_a 4.623
_cell_length_b 4.623
_cell_length_c 22.880
_cell_angle_alpha 90.00
_cell_angle_beta 90.00
_cell_angle_gamma 90.00
loop_
_atom_site_label
_atom_site_type_symbol
_atom_site_fract_x
_atom_site_fract_y
_atom_site_fract_z
_atom_site_occupancy
La1 La 0.000 0.000 0.000 1
Pr1 Pr 0.000 0.000 0.398 1
Dy1 Dy 0.000 0.000 0.141 1
Dy2 Dy 0.000 0.500 0.250 1
# * density of states at the Fermi level: 1.61 states/eV/atom
# * volume: 34.93 Å³/atom
# * total magnetic moment: 0.001 μB/cell
# * calculated formation energy: 236 meV/atom
# * total energy: -62.5 eV for the cell shown

# La10PrDy4 (PBE, optimized geometry)
data_La10PrDy4
_chemical_formula_sum 'La20 Pr2 Dy8'
_symmetry_space_group_name_H-M 'I 4/m m m'
_symmetry_Int_Tables_number 139
_symmetry_space_group_name_Hall '-I 4 2'
_cell_length_a 11.588
_cell_length_b 11.588
_cell_length_c 7.999
_cell_angle_alpha 90.00
_cell_angle_beta 90.00
_cell_angle_gamma 90.00
loop_
_atom_site_label
_atom_site_type_symbol
_atom_site_fract_x
_atom_site_fract_y
_atom_site_fract_z
_atom_site_occupancy
La1 La 0.000 0.218 0.208 1
La2 La 0.000 0.500 0.250 1
Pr1 Pr 0.000 0.000 0.500 1
Dy1 Dy 0.228 0.228 0.500 1
# * density of states at the Fermi level: 1.54 states/eV/atom
# * volume: 35.80 Å³/atom
# * total magnetic moment: 0.004 μB/cell
# * calculated formation energy: 204 meV/atom
# * total energy: -138.8 eV for the cell shown